Compound: V2OF
Source: Alexandria via LeMat-Bulk
Functional: PBE with a Hubbard U
Structure: relaxed

Excess energy over the best structure of this formula in the dataset ... 658.6 meV/atom
SG ... Fm-3m (225)

Unit cell a=4.0763 b=4.0763 c=4.0763 alpha=60.00 beta=60.00 gamma=60.00
Last column: nearest neighbours and their distance in Å.
Positions (direct):
V1 0.2500 0.2500 0.2500  4 F 2.50, 4 O 2.50
V2 0.7500 0.7500 0.7500  4 F 2.50, 4 O 2.50
F1 0.5000 0.5000 0.5000  8 V 2.50
O1 0.0000 0.0000 0.0000  8 V 2.50